LaMnO3 | PBE+U | optimized geometry

Cell lengths 13.402, 3.849, 6.396 Å; angles 90.00, 117.45, 90.00 degrees
Space group Cm (No. 8)
Unique sites:
La1 0.000 0.000 0.000
La2 0.125 0.500 0.619
Mn1 0.310 0.000 0.074
Mn2 0.315 0.000 0.540
O1 0.155 0.000 0.407
O2 0.157 0.000 0.888
O3 0.311 0.500 0.026
O4 0.314 0.500 0.595
O5 0.466 0.000 0.211
O6 0.473 0.000 0.738

Computed properties:
VASP energy ... -7.77 eV per atom
Total magnetization ... 3.00 μB per formula unit
Volume ... 293 Å³/cell